# 1
Material: ZrTaCd2
Method: DFT, PBE
State: optimized geometry

Summary:
Energy of formation ... 182 meV per atom

Geometry as CIF:
```
data_ZrTaCd2
_chemical_formula_sum 'Zr3 Ta3 Cd6'
_space_group_name_H-M_alt 'R -3 m'
_space_group_IT_number 166
_space_group_name_Hall '-R 3 2"'
_cell_length_a 3.0044
_cell_length_b 3.0044
_cell_length_c 31.6385
_cell_angle_alpha 90.00
_cell_angle_beta 90.00
_cell_angle_gamma 120.00
loop_
_atom_site_label
_atom_site_type_symbol
_atom_site_fract_x
_atom_site_fract_y
_atom_site_fract_z
_atom_site_occupancy
Zr1 Zr 0.0000 0.0000 0.0000 1
Ta1 Ta 0.0000 0.0000 0.5000 1
Cd1 Cd 0.0000 0.0000 0.2479 1
```

=====

# 2
Material: Zr2TaCd
Method: DFT, PBE
State: optimized geometry

Summary:
Energy of formation ... 119 meV per atom

Geometry as CIF:
```
data_Zr2TaCd
_chemical_formula_sum 'Zr4 Ta2 Cd2'
_space_group_name_H-M_alt 'C 1 m 1'
_space_group_IT_number 8
_space_group_name_Hall 'C -2y'
_cell_length_a 10.5299
_cell_length_b 3.0668
_cell_length_c 5.3593
_cell_angle_alpha 90.00
_cell_angle_beta 100.79
_cell_angle_gamma 90.00
loop_
_atom_site_label
_atom_site_type_symbol
_atom_site_fract_x
_atom_site_fract_y
_atom_site_fract_z
_atom_site_occupancy
Zr1 Zr 0.0000 0.0000 0.0000 1
Zr2 Zr 0.2273 0.0000 0.6977 1
Ta1 Ta 0.2459 0.5000 0.2090 1
Cd1 Cd 0.4789 0.0000 0.4841 1
```

=====

# 3
Material: ZrTaCd
Method: DFT, PBE
State: optimized geometry

Summary:
Energy of formation ... 222 meV per atom

Geometry as CIF:
```
data_ZrTaCd
_chemical_formula_sum 'Zr2 Ta2 Cd2'
_space_group_name_H-M_alt 'I 4 m m'
_space_group_IT_number 107
_space_group_name_Hall 'I 4 -2'
_cell_length_a 3.4980
_cell_length_b 3.4980
_cell_length_c 10.1681
_cell_angle_alpha 90.00
_cell_angle_beta 90.00
_cell_angle_gamma 90.00
loop_
_atom_site_label
_atom_site_type_symbol
_atom_site_fract_x
_atom_site_fract_y
_atom_site_fract_z
_atom_site_occupancy
Zr1 Zr 0.0000 0.0000 0.0000 1
Ta1 Ta 0.0000 0.0000 0.3368 1
Cd1 Cd 0.0000 0.0000 0.6770 1
```

=====

# 4
Material: Zr2TaCd
Method: DFT, PBE
State: optimized geometry

Summary:
Energy of formation ... 107 meV per atom

Geometry as CIF:
```
data_Zr2TaCd
_chemical_formula_sum 'Zr4 Ta2 Cd2'
_space_group_name_H-M_alt 'I 4/m m m'
_space_group_IT_number 139
_space_group_name_Hall '-I 4 2'
_cell_length_a 4.3650
_cell_length_b 4.3650
_cell_length_c 8.8232
_cell_angle_alpha 90.00
_cell_angle_beta 90.00
_cell_angle_gamma 90.00
loop_
_atom_site_label
_atom_site_type_symbol
_atom_site_fract_x
_atom_site_fract_y
_atom_site_fract_z
_atom_site_occupancy
Zr1 Zr 0.0000 0.5000 0.2500 1
Ta1 Ta 0.0000 0.0000 0.0000 1
Cd1 Cd 0.0000 0.0000 0.5000 1
```

=====

# 5
Material: Zr2TaCd
Method: DFT, PBE
State: optimized geometry

Summary:
Energy of formation ... 88 meV per atom

Geometry as CIF:
```
data_Zr2TaCd
_chemical_formula_sum 'Zr6 Ta3 Cd3'
_space_group_name_H-M_alt 'R -3 m'
_space_group_IT_number 166
_space_group_name_Hall '-R 3 2"'
_cell_length_a 3.1790
_cell_length_b 3.1790
_cell_length_c 29.9029
_cell_angle_alpha 90.00
_cell_angle_beta 90.00
_cell_angle_gamma 120.00
loop_
_atom_site_label
_atom_site_type_symbol
_atom_site_fract_x
_atom_site_fract_y
_atom_site_fract_z
_atom_site_occupancy
Zr1 Zr 0.0000 0.0000 0.2464 1
Ta1 Ta 0.0000 0.0000 0.5000 1
Cd1 Cd 0.0000 0.0000 0.0000 1
```

=====

# 6
Material: Tb5Cd3
Method: DFT, PBE
State: optimized geometry

Summary:
Energy of formation ... -220 meV per atom

Geometry as CIF:
```
data_Tb5Cd3
_chemical_formula_sum 'Tb5 Cd3'
_space_group_name_H-M_alt 'P 4/m m m'
_space_group_IT_number 123
_space_group_name_Hall '-P 4 2'
_cell_length_a 3.6896
_cell_length_b 3.6896
_cell_length_c 16.4973
_cell_angle_alpha 90.00
_cell_angle_beta 90.00
_cell_angle_gamma 90.00
loop_
_atom_site_label
_atom_site_type_symbol
_atom_site_fract_x
_atom_site_fract_y
_atom_site_fract_z
_atom_site_occupancy
Tb1 Tb 0.0000 0.0000 0.0000 1
Tb2 Tb 0.0000 0.0000 0.2345 1
Tb3 Tb 0.5000 0.5000 0.3811 1
Cd1 Cd 0.0000 0.0000 0.5000 1
Cd2 Cd 0.5000 0.5000 0.1168 1
```

=====

# 7
Material: Tb13Cd2
Method: DFT, PBE
State: optimized geometry

Summary:
Energy of formation ... -42 meV per atom

Geometry as CIF:
```
data_Tb13Cd2
_chemical_formula_sum 'Tb13 Cd2'
_space_group_name_H-M_alt 'P -1'
_space_group_IT_number 2
_space_group_name_Hall '-P 1'
_cell_length_a 6.6877
_cell_length_b 8.5993
_cell_length_c 8.9273
_cell_angle_alpha 66.20
_cell_angle_beta 79.50
_cell_angle_gamma 82.22
loop_
_atom_site_label
_atom_site_type_symbol
_atom_site_fract_x
_atom_site_fract_y
_atom_site_fract_z
_atom_site_occupancy
Tb1 Tb 0.0000 0.0000 0.0000 1
Tb2 Tb 0.1235 0.4772 0.7391 1
Tb3 Tb 0.1996 0.2317 0.1530 1
Tb4 Tb 0.2508 0.9402 0.5789 1
Tb5 Tb 0.3042 0.6562 0.9731 1
Tb6 Tb 0.3663 0.4122 0.3913 1
Tb7 Tb 0.4961 0.1410 0.7966 1
Cd1 Cd 0.0595 0.7667 0.3813 1
```

=====

# 8
Material: Tb3Cd4
Method: DFT, PBE
State: optimized geometry

Summary:
Energy of formation ... -121 meV per atom

Geometry as CIF:
```
data_Tb3Cd4
_chemical_formula_sum 'Tb9 Cd12'
_space_group_name_H-M_alt 'R -3 m'
_space_group_IT_number 166
_space_group_name_Hall '-R 3 2"'
_cell_length_a 5.2109
_cell_length_b 5.2109
_cell_length_c 25.5950
_cell_angle_alpha 90.00
_cell_angle_beta 90.00
_cell_angle_gamma 120.00
loop_
_atom_site_label
_atom_site_type_symbol
_atom_site_fract_x
_atom_site_fract_y
_atom_site_fract_z
_atom_site_occupancy
Tb1 Tb 0.0000 0.0000 0.0000 1
Tb2 Tb 0.0000 0.0000 0.2491 1
Cd1 Cd 0.0000 0.0000 0.1264 1
Cd2 Cd 0.0000 0.0000 0.3803 1
```

=====

no.,M_tot (μB/cell),VASP energy (eV/atom)
1,0.0,-5.38
2,0.0,-7.35
3,0.0,-6.88
4,0.0,-7.36
5,0.0,-7.38
6,1.4,-3.46
7,0.0,-4.18
8,0.0,-2.63